The following is a DFT calculation (meta-GGA SCAN) of a crystal of ZrSc2Mo relaxed with PBEsol.

```
4
Lattice="1.502 0.867 10.502 -1.502 0.867 10.502 0.000 -1.734 10.502" Properties=species:S:1:pos:R:3 pbc="T T T"
Zr 0.000 0.000 0.000
Sc 0.000 0.000 2.999
Sc 0.000 0.000 28.506
Mo 0.000 0.000 15.753
```

## Properties
Its calculated formation energy is 390 meV per atom. For the volume, the calculation gives 82 Å³ per cell. Its total energy is -23.12 eV/atom. The value obtained for the magnetic moment is 1.2 μB/f.u. The energy above the lowest structure with this stoichiometry is 317 meV/atom. Its density of states at the Fermi level is 4.6 states/eV/f.u.